KLa2MoN | PBE | optimized geometry

As for the energy relative to the elements, uncorrected: 21.0 meV per atom. Its density is 5.8 g/cm³.

The space group is P4/mmm (No. 123) and the conventional cell measures 5.442, 5.442 and 4.094 Å, with angles of 90.00, 90.00 and 90.00 degrees. Symmetry generates all atoms from K at (0.000, 0.000, 0.000), La at (0.000, 0.500, 0.500), Mo at (0.500, 0.500, 0.000) and N at (0.500, 0.500, 0.500).


KLa2NbMo | PBE | optimized geometry

Its density is 6.0 g/cm³. As for the calculated formation energy: 2042 meV/atom.

The space group is P4/mmm (No. 123) and the conventional cell measures 5.504, 5.504 and 4.635 Å, with angles of 90.00, 90.00 and 90.00 degrees. Symmetry generates all atoms from K at (0.000, 0.000, 0.000), La at (0.000, 0.500, 0.000), Nb at (0.500, 0.500, 0.500) and Mo at (0.000, 0.000, 0.500).